No. 1
The following is a GGA-PBE calculation of a relaxed structure of KBe3Se, from Alexandria.

Symmetry   Pm-3m, No. 221
ΔE to the lowest computed polymorph   0 meV/atom
Formation energy (no corrections)   1067 meV/atom

Cell: 4.760 4.760 4.760 Å, 90.00 90.00 90.00°
Positions (direct):
Be  0.000  0.500  0.000
Be  0.500  0.000  0.000
Be  0.000  0.000  0.500
K  0.500  0.500  0.500
Se  0.000  0.000  0.000


No. 2
The following is a GGA-PBE calculation of a relaxed structure of K2Be2Se, from Alexandria.

Symmetry   I4/mmm, No. 139
Formation energy (no corrections)   181 meV/atom

Cell: 10.970 10.970 10.970 Å, 162.87 162.87 24.31°
Positions (direct):
Se  0.000  0.000  0.000
Be  0.750  0.250  0.500
Be  0.250  0.750  0.500
K  0.604  0.604  0.000
K  0.396  0.396  0.000


No. 3
The following is a GGA-PBE calculation of a relaxed structure of KBe4Se, from Alexandria.

Symmetry   F-43m, No. 216
Formation energy (no corrections)   822 meV/atom

Cell: 5.058 5.058 5.058 Å, 60.00 60.00 60.00°
Positions (direct):
Be  0.878  0.374  0.374
Be  0.374  0.878  0.374
Be  0.374  0.374  0.878
Be  0.374  0.374  0.374
K  0.750  0.750  0.750
Se  0.000  0.000  0.000